DFT (GGA-PBE) results for a relaxed KBe crystal.

Computed properties:
**ΔH_f (0 K)**: 1.19 eV/atom
**Calculated density**: 1227 kg/m³

```
2
Lattice="4.023 0.000 0.000 0.000 4.023 0.000 0.000 0.000 4.023" Properties=species:S:1:pos:R:3 pbc="T T T"
K 0.000 0.000 0.000
Be 2.011 2.011 2.011
```